HfCdTeN2 | PBE | relaxed

Results
Density of states at the Fermi level in states/eV/cell: 3.224
E above lowest polymorph in meV per atom: 1387

Cell: 4.2260 4.2260 5.6875 Å, 90.00 90.00 90.00°
Closest atoms and distances in Å follow each position.
Atoms (fractional coordinates):
Hf 0.0000 0.0000 0.0000  4 Te 2.99
Cd 0.5000 0.5000 0.5000  4 N 2.11
Te 0.5000 0.5000 0.0000  2 Cd 2.84, 4 Hf 2.99
N 0.0000 0.5000 0.5000  2 Cd 2.11
N 0.5000 0.0000 0.5000  2 Cd 2.11

=====

NaNpTa2O8 | PBE | relaxed

Results
Density of states at the Fermi level in states/eV/cell: 5.826

Cell: 5.0380 5.0380 6.3056 Å, 90.00 90.00 92.28°
Closest atoms and distances in Å follow each position.
Atoms (fractional coordinates):
Na 0.0000 0.0000 0.0000  6 O 2.29-2.37
Np 0.0000 0.0000 0.5000  6 O 2.09-2.30
Ta 0.5000 0.5000 0.2429  6 O 1.98-2.10
Ta 0.5000 0.5000 0.7571  6 O 1.98-2.10
O 0.2171 0.2171 0.2723  1 Ta 1.98, 1 Np 2.09
O 0.2171 0.2171 0.7277  1 Ta 1.98, 1 Np 2.09
O 0.3170 0.6830 0.5000  2 Ta 2.10, 1 Np 2.30
O 0.3268 0.6732 0.0000  2 Ta 1.98
O 0.6732 0.3268 0.0000  2 Ta 1.98
O 0.6830 0.3170 0.5000  2 Ta 2.10, 1 Np 2.30
O 0.7829 0.7829 0.2723  1 Ta 1.98, 1 Np 2.09
O 0.7829 0.7829 0.7277  1 Ta 1.98, 1 Np 2.09

=====

GaGe2Cl | PBE | relaxed

Results
Density of states at the Fermi level in states/eV/cell: 0.825
E above lowest polymorph in meV per atom: 56

Cell: 7.7766 7.7766 7.7766 Å, 135.92 135.92 64.10°
Closest atoms and distances in Å follow each position.
Atoms (fractional coordinates):
Ga 0.0000 0.0000 0.0000  4 Ge 2.54
Ga 0.7500 0.2500 0.5000  4 Ge 2.54
Ge 0.0933 0.6250 0.9683  2 Ga 2.54, 2 Cl 2.75
Ge 0.3750 0.3433 0.4683  2 Ga 2.54, 2 Cl 2.75
Ge 0.6567 0.1250 0.0317  2 Ga 2.54, 2 Cl 2.75
Ge 0.8750 0.9067 0.5317  2 Ga 2.54, 2 Cl 2.75
Cl 0.2500 0.7500 0.5000  4 Ge 2.75
Cl 0.5000 0.5000 0.0000  4 Ge 2.75

=====

Energy relative to the elements, uncorrected per entry: 1579; -2706; 266 meV per atom